Y2TaBRh6 GGA-PBE relaxed; magnetization = 0.00 μB/f.u.; energy of formation = -0.53 eV/atom
1.0
5.014 -2.890 0.000
5.014 2.890 0.000
-3.360 0.000 6.071
Y Ta B Rh
2 1 1 6
direct
0.223 0.223 0.169
0.777 0.777 0.831
0.500 0.500 0.000
0.000 0.000 0.500
0.234 0.234 0.688
0.234 0.721 0.689
0.279 0.766 0.311
0.721 0.234 0.689
0.766 0.279 0.311
0.766 0.766 0.312